1.
The following is a DFT calculation (GGA-PBE) of crystalline K2CrMo at its relaxed geometry. Values from VASP.

Calculated values
Energy above the most stable polymorph in this dataset (eV/atom): 0.9062
Energy of formation from the pure elements (eV/atom): 1.767

The structure in Quantum ESPRESSO input format:
```
&SYSTEM
  ibrav = 0, nat = 4, ntyp = 3
/
ATOMIC_SPECIES
K 39.10 K.upf
Cr 52.00 Cr.upf
Mo 95.94 Mo.upf
CELL_PARAMETERS angstrom
4.6530 0.0000 0.0000
0.0000 4.6530 0.0000
0.0000 0.0000 6.8630
ATOMIC_POSITIONS angstrom
K 0.0000 0.0000 1.6999
K 0.0000 0.0000 5.1631
Cr 2.3265 2.3265 0.0000
Mo 2.3265 2.3265 3.4315
```

=====

2.
The following is a DFT calculation (GGA-PBE) of crystalline K2CrMo at its relaxed geometry. Values from VASP.

Calculated values
Energy above the most stable polymorph in this dataset (eV/atom): 0.1407
Energy of formation from the pure elements (eV/atom): 1.001

The structure in Quantum ESPRESSO input format:
```
&SYSTEM
  ibrav = 0, nat = 8, ntyp = 3
/
ATOMIC_SPECIES
K 39.10 K.upf
Cr 52.00 Cr.upf
Mo 95.94 Mo.upf
CELL_PARAMETERS angstrom
8.3490 0.0000 0.0000
0.0000 3.0930 0.0000
-0.8571 0.0000 10.3172
ATOMIC_POSITIONS angstrom
K 0.0000 0.0000 0.0000
K 1.2616 0.0000 6.0246
K 4.1745 1.5465 0.0000
K 5.4362 1.5465 6.0246
Cr 1.6007 1.5465 2.8909
Cr 5.7752 0.0000 2.8909
Mo 3.5029 0.0000 3.1535
Mo 7.6774 1.5465 3.1535
```

=====

3.
The following is a DFT calculation (GGA-PBE) of crystalline K2CrMo at its relaxed geometry. Values from VASP.

Calculated values
Energy above the most stable polymorph in this dataset (eV/atom): 0.0150
Energy of formation from the pure elements (eV/atom): 0.876

The structure in Quantum ESPRESSO input format:
```
&SYSTEM
  ibrav = 0, nat = 4, ntyp = 3
/
ATOMIC_SPECIES
K 39.10 K.upf
Cr 52.00 Cr.upf
Mo 95.94 Mo.upf
CELL_PARAMETERS angstrom
3.1400 0.0000 0.0000
0.0000 3.8493 0.0000
-0.4423 0.0000 10.4817
ATOMIC_POSITIONS angstrom
K 0.0000 0.0000 0.0000
K 0.3180 1.9246 4.1709
Cr 0.5780 0.0000 7.2085
Mo 2.1228 1.9246 7.4543
```

=====

4.
The following is a DFT calculation (GGA-PBE) of crystalline K2CrMo at its relaxed geometry. Values from VASP.

Calculated values
Energy above the most stable polymorph in this dataset (eV/atom): 0.6693
Energy of formation from the pure elements (eV/atom): 1.530

The structure in Quantum ESPRESSO input format:
```
&SYSTEM
  ibrav = 0, nat = 12, ntyp = 3
/
ATOMIC_SPECIES
K 39.10 K.upf
Cr 52.00 Cr.upf
Mo 95.94 Mo.upf
CELL_PARAMETERS angstrom
3.0243 0.0000 0.0000
-1.5122 2.6191 0.0000
0.0000 0.0000 37.2161
ATOMIC_POSITIONS angstrom
K 0.0000 0.0000 9.2524
K 0.0000 0.0000 27.9636
K 0.0000 1.7461 15.5583
K 0.0000 1.7461 34.0632
K 1.5122 0.8730 3.1529
K 1.5122 0.8730 21.6578
Cr 0.0000 0.0000 0.0000
Cr 0.0000 1.7461 24.8107
Cr 1.5122 0.8730 12.4053
Mo 0.0000 0.0000 18.6080
Mo 0.0000 1.7461 6.2027
Mo 1.5122 0.8730 31.0134
```

=====

5.
The following is a DFT calculation (GGA-PBE) of crystalline K2CrMo at its relaxed geometry. Values from VASP.

Calculated values
Energy above the most stable polymorph in this dataset (eV/atom): 0.8294
Energy of formation from the pure elements (eV/atom): 1.690

The structure in Quantum ESPRESSO input format:
```
&SYSTEM
  ibrav = 0, nat = 16, ntyp = 3
/
ATOMIC_SPECIES
K 39.10 K.upf
Cr 52.00 Cr.upf
Mo 95.94 Mo.upf
CELL_PARAMETERS angstrom
8.2640 0.0000 0.0000
0.0000 8.2640 0.0000
0.0000 0.0000 8.2640
ATOMIC_POSITIONS angstrom
K 2.0660 2.0660 2.0660
K 2.0660 2.0660 6.1980
K 2.0660 6.1980 2.0660
K 2.0660 6.1980 6.1980
K 6.1980 2.0660 2.0660
K 6.1980 2.0660 6.1980
K 6.1980 6.1980 2.0660
K 6.1980 6.1980 6.1980
Cr 0.0000 0.0000 0.0000
Cr 0.0000 4.1320 4.1320
Cr 4.1320 0.0000 4.1320
Cr 4.1320 4.1320 0.0000
Mo 0.0000 0.0000 4.1320
Mo 0.0000 4.1320 0.0000
Mo 4.1320 0.0000 0.0000
Mo 4.1320 4.1320 4.1320
```

=====

6.
The following is a DFT calculation (GGA-PBE) of crystalline K2CrMo at its relaxed geometry. Values from VASP.

Calculated values
Energy above the most stable polymorph in this dataset (eV/atom): 0.6956
Energy of formation from the pure elements (eV/atom): 1.556

The structure in Quantum ESPRESSO input format:
```
&SYSTEM
  ibrav = 0, nat = 4, ntyp = 3
/
ATOMIC_SPECIES
K 39.10 K.upf
Cr 52.00 Cr.upf
Mo 95.94 Mo.upf
CELL_PARAMETERS angstrom
2.9519 0.0000 0.0000
0.0000 2.9519 0.0000
0.0000 0.0000 11.9096
ATOMIC_POSITIONS angstrom
K 0.0000 0.0000 2.8774
K 0.0000 0.0000 9.0323
Cr 1.4759 1.4759 5.9548
Mo 1.4759 1.4759 0.0000
```

=====

7.
The following is a DFT calculation (GGA-PBE) of crystalline K2CrMo at its relaxed geometry. Values from VASP.

Calculated values
Energy above the most stable polymorph in this dataset (eV/atom): 0.6697
Energy of formation from the pure elements (eV/atom): 1.530

The structure in Quantum ESPRESSO input format:
```
&SYSTEM
  ibrav = 0, nat = 4, ntyp = 3
/
ATOMIC_SPECIES
K 39.10 K.upf
Cr 52.00 Cr.upf
Mo 95.94 Mo.upf
CELL_PARAMETERS angstrom
2.9250 0.0000 0.0000
0.0000 5.6981 0.0000
0.0000 0.0000 6.0707
ATOMIC_POSITIONS angstrom
K 0.0000 1.4180 0.0000
K 0.0000 4.2801 0.0000
Cr 1.4625 2.8490 3.0354
Mo 1.4625 0.0000 3.0354
```

=====

8.
The following is a DFT calculation (GGA-PBE) of crystalline KCrMo3 at its relaxed geometry. Values from VASP.

Calculated values
Energy above the most stable polymorph in this dataset (eV/atom): 0.0000
Energy of formation from the pure elements (eV/atom): 1.597

The structure in Quantum ESPRESSO input format:
```
&SYSTEM
  ibrav = 0, nat = 5, ntyp = 3
/
ATOMIC_SPECIES
K 39.10 K.upf
Cr 52.00 Cr.upf
Mo 95.94 Mo.upf
CELL_PARAMETERS angstrom
4.6673 0.0000 0.0000
0.0000 4.6673 0.0000
0.0000 0.0000 4.6673
ATOMIC_POSITIONS angstrom
K 0.0000 0.0000 0.0000
Cr 2.3337 2.3337 2.3337
Mo 0.0000 2.3337 2.3337
Mo 2.3337 0.0000 2.3337
Mo 2.3337 2.3337 0.0000
```

=====

9.
The following is a DFT calculation (GGA-PBE) of crystalline K2CrMo at its relaxed geometry. Values from VASP.

Calculated values
Energy above the most stable polymorph in this dataset (eV/atom): 0.6296
Energy of formation from the pure elements (eV/atom): 1.490

The structure in Quantum ESPRESSO input format:
```
&SYSTEM
  ibrav = 0, nat = 4, ntyp = 3
/
ATOMIC_SPECIES
K 39.10 K.upf
Cr 52.00 Cr.upf
Mo 95.94 Mo.upf
CELL_PARAMETERS angstrom
4.1349 0.0000 0.0000
0.0000 4.1349 0.0000
0.0000 0.0000 6.0597
ATOMIC_POSITIONS angstrom
K 0.0000 2.0675 0.0000
K 2.0675 0.0000 0.0000
Cr 0.0000 0.0000 3.0298
Mo 2.0675 2.0675 3.0298
```

=====

10.
The following is a DFT calculation (GGA-PBE) of crystalline K2CrMo at its relaxed geometry. Values from VASP.

Calculated values
Energy above the most stable polymorph in this dataset (eV/atom): 0.0155
Energy of formation from the pure elements (eV/atom): 0.876

The structure in Quantum ESPRESSO input format:
```
&SYSTEM
  ibrav = 0, nat = 8, ntyp = 3
/
ATOMIC_SPECIES
K 39.10 K.upf
Cr 52.00 Cr.upf
Mo 95.94 Mo.upf
CELL_PARAMETERS angstrom
3.1850 0.0000 0.0000
0.0000 3.8103 0.0000
0.0000 0.0000 20.9979
ATOMIC_POSITIONS angstrom
K 0.0000 0.0000 3.1504
K 0.0000 0.0000 17.8475
K 1.5925 1.9051 7.3485
K 1.5925 1.9051 13.6493
Cr 0.0000 1.9051 10.4989
Cr 1.5925 0.0000 0.0000
Mo 0.0000 1.9051 0.0000
Mo 1.5925 0.0000 10.4989
```

=====

11.
The following is a DFT calculation (GGA-PBE) of crystalline KCrMo3 at its relaxed geometry. Values from VASP.

Calculated values
Energy above the most stable polymorph in this dataset (eV/atom): 1.7105
Energy of formation from the pure elements (eV/atom): 3.308

The structure in Quantum ESPRESSO input format:
```
&SYSTEM
  ibrav = 0, nat = 5, ntyp = 3
/
ATOMIC_SPECIES
K 39.10 K.upf
Cr 52.00 Cr.upf
Mo 95.94 Mo.upf
CELL_PARAMETERS angstrom
4.4268 0.0000 0.0000
0.0000 4.4268 0.0000
0.0000 0.0000 4.4268
ATOMIC_POSITIONS angstrom
K 0.0000 0.0000 0.0000
Cr 2.2134 2.2134 2.2134
Mo 0.0000 0.0000 2.2134
Mo 0.0000 2.2134 0.0000
Mo 2.2134 0.0000 0.0000
```

=====

12.
The following is a DFT calculation (GGA-PBE) of crystalline K2CrMo at its relaxed geometry. Values from VASP.

Calculated values
Energy above the most stable polymorph in this dataset (eV/atom): 0.0000
Energy of formation from the pure elements (eV/atom): 0.861

The structure in Quantum ESPRESSO input format:
```
&SYSTEM
  ibrav = 0, nat = 4, ntyp = 3
/
ATOMIC_SPECIES
K 39.10 K.upf
Cr 52.00 Cr.upf
Mo 95.94 Mo.upf
CELL_PARAMETERS angstrom
3.3892 0.0000 0.0000
0.0000 3.3892 0.0000
0.0000 0.0000 10.5535
ATOMIC_POSITIONS angstrom
K 0.0000 0.0000 0.0000
K 1.6946 1.6946 4.2047
Cr 1.6946 1.6946 7.7983
Mo 0.0000 0.0000 7.0232
```

=====

Total magnetic moment for every record listed, in sequence, given in Bohr magnetons per cell: 10.07 2.58 1.04 11.39 0.61 5.31 2.76 0.00 1.41 1.98 0.00 1.01.